No. 1
Here is Rb2CdAgO after structural relaxation from Alexandria. Energies are from PBE-GGA.

Results
As for the space group: No. 123. The energy relative to the elements, uncorrected is -0.40 eV/atom.

Cell: 6.027 6.027 4.457 Å, 90.00 90.00 90.00°
Fractional coordinates of all 5 atoms:
Rb1 0.000 0.500 0.000
Rb2 0.500 0.000 0.000
Cd1 0.000 0.000 0.500
Ag1 0.500 0.500 0.500
O1 0.000 0.000 0.000

---

No. 2
Here is CdReAg2O after structural relaxation from Alexandria. Energies are from PBE-GGA.

Results
As for the space group: No. 123. The energy relative to the elements, uncorrected is 1.92 eV/atom.

Cell: 5.160 5.160 5.393 Å, 90.00 90.00 90.00°
Fractional coordinates of all 5 atoms:
Cd1 0.000 0.000 0.000
Re1 0.000 0.000 0.500
Ag1 0.000 0.500 0.500
Ag2 0.500 0.000 0.500
O1 0.500 0.500 0.000

---

No. 3
Here is Cd2ReAg2O6 after structural relaxation from Alexandria. Energies are from PBE-GGA.

Results
As for the space group: No. 12. The energy relative to the elements, uncorrected is -0.82 eV/atom.

Cell: 5.684 5.684 6.225 Å, 103.22 103.22 116.28°
Fractional coordinates of all 11 atoms:
Cd1 0.157 0.843 0.000
Cd2 0.843 0.157 0.000
Re1 0.500 0.500 0.000
Ag1 0.198 0.802 0.500
Ag2 0.802 0.198 0.500
O1 0.148 0.148 0.782
O2 0.288 0.573 0.181
O3 0.427 0.712 0.819
O4 0.573 0.288 0.181
O5 0.712 0.427 0.819
O6 0.852 0.852 0.218

---

No. 4
Here is CdRe2AgO8 after structural relaxation from Alexandria. Energies are from PBE-GGA.

Results
As for the space group: No. 12. The energy relative to the elements, uncorrected is -1.26 eV/atom.

Cell: 6.492 6.492 6.184 Å, 107.46 107.46 59.69°
Fractional coordinates of all 12 atoms:
Cd1 0.000 0.000 0.000
Re1 0.304 0.304 0.859
Re2 0.696 0.696 0.141
Ag1 0.500 0.500 0.500
O1 0.137 0.137 0.768
O2 0.140 0.592 0.774
O3 0.357 0.357 0.164
O4 0.408 0.860 0.226
O5 0.592 0.140 0.774
O6 0.643 0.643 0.836
O7 0.860 0.408 0.226
O8 0.863 0.863 0.232